1.
ZrTi2H4: relaxed, GGA-PBE.

Values from the calculation:
Space-group type = I4_1/a
Total DFT energy (no corrections) = -5.855 eV/atom
Magnetic moment = 0.00 μB per formula unit
Excess energy over the best structure of this formula in the dataset = 30 meV/atom

a b c (Å): 5.6285 5.6285 5.6985
angles (deg): 119.59 119.59 90.00
Element x y z (fractional)
1 Zr 0.5000 0.5000 0.0000
2 Zr 0.7500 0.2500 0.5000
3 H 0.4973 0.1390 0.6277
4 H 0.5113 0.5027 0.3723
5 H 0.1196 0.2613 0.8723
6 H 0.7527 0.6110 0.8723
7 H 0.7387 0.2473 0.1277
8 H 0.1304 0.4887 0.6277
9 H 0.8610 0.8696 0.3723
10 H 0.3890 0.8804 0.1277
11 Ti 0.6250 0.8750 0.7500
12 Ti 0.1250 0.8750 0.2500
13 Ti 0.1250 0.3750 0.2500
14 Ti 0.1250 0.8750 0.7500

2.
GaAgSn2Cl: relaxed, GGA-PBE.

Values from the calculation:
Energy relative to the elements, uncorrected = 0.463 eV per atom
Space-group type = P4/mmm
Total DFT energy (no corrections) = -2.683 eV/atom
Magnetic moment = 0.00 μB per formula unit

a b c (Å): 5.3796 5.2249 5.3796
angles (deg): 90.00 90.00 90.00
Element x y z (fractional)
1 Sn 0.5000 0.0000 0.0000
2 Sn 0.0000 0.0000 0.5000
3 Ag 0.5000 0.5000 0.5000
4 Cl 0.0000 0.0000 0.0000
5 Ga 0.0000 0.5000 0.0000

Question: Which of these has the highest total DFT energy (no corrections)?
Answer: GaAgSn2Cl